Here is BeNb2PdS after structural relaxation from Alexandria. Energies are from PBE.

abc: 4.970 4.970 4.352
angles: 90.00 90.00 90.00
Atoms (fractional coordinates):
Be: 0.000 0.000 0.000
Nb: 0.000 0.500 0.500
Nb: 0.500 0.000 0.500
Pd: 0.500 0.500 0.500
S: 0.500 0.500 0.000

Calculated values
- Space group: No. 123
- Crystal system: tetragonal
- Magnetization: 0.0 μB/cell
- Final energy: -25.71 eV for the cell shown
- Formation energy (no corrections): 1.50 eV/atom